Arrangement 1

Entry from Alexandria via LeMat-Bulk: a geometry-optimized CaYTe2 structure (PBE-GGA).

Lattice parameters (Å, degrees): 7.7023 7.7023 7.7023 90.00 90.00 90.00
Space group Fm-3m (No. 225)
Unique sites:
Ca1 0.0000 0.0000 0.0000 [4 per cell]
Y1 0.0000 0.0000 0.5000 [4 per cell]
Te1 0.2500 0.2500 0.2500 [8 per cell]

**Magnetic moment**: 0.000 μB per atom

---

Arrangement 2

Entry from Alexandria via LeMat-Bulk: a geometry-optimized CaYTe2 structure (PBE-GGA).

Lattice parameters (Å, degrees): 4.1096 4.1109 14.8015 90.00 90.00 90.00
Space group Imm2 (No. 44)
Unique sites:
Ca1 0.0000 0.0000 0.0000 [2 per cell]
Y1 0.0000 0.5000 0.2443 [2 per cell]
Te1 0.0000 0.0000 0.5875 [2 per cell]
Te2 0.0000 0.5000 0.8300 [2 per cell]

**Magnetic moment**: 0.211 μB per atom

---

The relative energies come out as arrangement 1 0.152; arrangement 2 0.000, with values in eV/atom.

---

Arrangement 1

Entry from Alexandria via LeMat-Bulk: a geometry-optimized NaSr2Mg2 structure (PBE-GGA).

Lattice parameters (Å, degrees): 9.1831 9.1831 4.6899 90.00 90.00 90.00
Space group P4/mbm (No. 127)
Unique sites:
Na1 0.0000 0.0000 0.0000 [2 per cell]
Sr1 0.1704 0.3296 0.5000 [4 per cell]
Mg1 0.1218 0.6218 0.0000 [4 per cell]

**Magnetic moment**: 0.000 μB per atom

---

Arrangement 2

Entry from Alexandria via LeMat-Bulk: a geometry-optimized NaSr2Mg2 structure (PBE-GGA).

Lattice parameters (Å, degrees): 4.3280 4.3280 21.6601 90.00 90.00 90.00
Space group I4/mmm (No. 139)
Unique sites:
Na1 0.0000 0.0000 0.0000 [2 per cell]
Sr1 0.0000 0.0000 0.3868 [4 per cell]
Mg1 0.0000 0.5000 0.2500 [4 per cell]

**Magnetic moment**: 0.000 μB per atom

---

The relative energies come out as arrangement 1 0.000; arrangement 2 0.094, with values in eV/atom.

---

Arrangement 1

Entry from Alexandria via LeMat-Bulk: a geometry-optimized TlTcMo2 structure (PBE-GGA).

Lattice parameters (Å, degrees): 2.9257 2.9257 28.0354 90.00 90.00 120.00
Space group R3m (No. 160, hexagonal axes)
Unique sites:
Tl1 0.0000 0.0000 0.0000 [3 per cell]
Tc1 0.0000 0.0000 0.2454 [3 per cell]
Mo1 0.0000 0.0000 0.5054 [3 per cell]
Mo2 0.0000 0.0000 0.7566 [3 per cell]

**Magnetic moment**: 0.000 μB per atom

---

Arrangement 2

Entry from Alexandria via LeMat-Bulk: a geometry-optimized TlTcMo2 structure (PBE-GGA).

Lattice parameters (Å, degrees): 3.2647 4.5893 9.0950 90.00 90.00 90.00
Space group Imm2 (No. 44)
Unique sites:
Tl1 0.0000 0.0000 0.0000 [2 per cell]
Tc1 0.0000 0.5000 0.2352 [2 per cell]
Mo1 0.0000 0.0000 0.4981 [2 per cell]
Mo2 0.0000 0.5000 0.7681 [2 per cell]

**Magnetic moment**: 0.000 μB per atom

---

The relative energies come out as arrangement 1 0.018; arrangement 2 0.000, with values in eV/atom.

---

Arrangement 1

Entry from Alexandria via LeMat-Bulk: a geometry-optimized YMgCu structure (PBE-GGA).

Lattice parameters (Å, degrees): 6.5728 6.5728 6.5728 90.00 90.00 90.00
Space group P2_13 (No. 198)
Unique sites:
Y1 0.1650 0.3350 0.6650 [4 per cell]
Mg1 0.1627 0.1627 0.1627 [4 per cell]
Cu1 0.0300 0.9700 0.4700 [4 per cell]

**Magnetic moment**: 0.000 μB per atom

---

Arrangement 2

Entry from Alexandria via LeMat-Bulk: a geometry-optimized YMgCu structure (PBE-GGA).

Lattice parameters (Å, degrees): 5.4635 8.2195 5.7364 90.00 90.00 90.00
Space group Pbcm (No. 57)
Unique sites:
Y1 0.1738 0.0987 0.2500 [4 per cell]
Mg1 0.3364 0.7500 0.0000 [4 per cell]
Cu1 0.3264 0.0474 0.7500 [4 per cell]

**Magnetic moment**: 0.000 μB per atom

---

The relative energies come out as arrangement 1 0.157; arrangement 2 0.000, with values in eV/atom.

---

Arrangement 1

Entry from Alexandria via LeMat-Bulk: a geometry-optimized Be2TcCl structure (PBE-GGA).

Lattice parameters (Å, degrees): 7.6165 2.7982 5.7838 90.00 96.46 90.00
Space group Cm (No. 8)
Unique sites:
Be1 0.0000 0.0000 0.0000 [2 per cell]
Be2 0.2354 0.5000 0.1747 [2 per cell]
Tc1 0.4722 0.0000 0.3147 [2 per cell]
Cl1 0.0584 0.0000 0.6656 [2 per cell]

**Magnetic moment**: 0.000 μB per atom

---

Arrangement 2

Entry from Alexandria via LeMat-Bulk: a geometry-optimized Be2TcCl structure (PBE-GGA).

Lattice parameters (Å, degrees): 3.1132 4.7513 7.0750 90.00 90.00 90.00
Space group Cmmm (No. 65)
Unique sites:
Be1 0.0000 0.0000 0.2376 [4 per cell]
Tc1 0.0000 0.5000 0.0000 [2 per cell]
Cl1 0.0000 0.5000 0.5000 [2 per cell]

**Magnetic moment**: 0.000 μB per atom

---

The relative energies come out as arrangement 1 0.000; arrangement 2 0.078, with values in eV/atom.